Record 1
A geometry-optimized TaAl5Co4 structure, computed with GGA-PBE.

The final energy comes out at -6.43 eV/atom. The calculation puts the formation energy at -532 meV/atom. Its calculated density is 7.26 g/cm3. Its crystal system is tetragonal. Its density of states at the Fermi level is 4.4 states/eV per cell.

The structure belongs to space group P4/mmm (No. 123); the cell edges are 2.853, 2.853 and 15.501 Å and the angles 90.00°, 90.00° and 90.00°. Symmetry generates all atoms from Ta at (0.000, 0.000, 0.000), Al at (0.500, 0.500, 0.131), Al at (0.500, 0.500, 0.315), Al at (0.500, 0.500, 0.500), Co at (0.000, 0.000, 0.223) and Co at (0.000, 0.000, 0.408).


Record 2
A geometry-optimized Ta2AlCo structure, computed with GGA-PBE.

The final energy comes out at -8.81 eV/atom. The calculation puts the formation energy at -171 meV/atom. Its calculated density is 11.98 g/cm3. Its crystal system is tetragonal. Its density of states at the Fermi level is 3.9 states/eV per cell.

The structure belongs to space group P4/mmm (No. 123); the cell edges are 2.831, 2.831 and 7.744 Å and the angles 90.00°, 90.00° and 90.00°. Symmetry generates all atoms from Ta at (0.000, 0.000, 0.226), Al at (0.500, 0.500, 0.500) and Co at (0.500, 0.500, 0.000).


Record 3
A geometry-optimized TaAl2Co structure, computed with GGA-PBE.

The final energy comes out at -6.71 eV/atom. The calculation puts the formation energy at -101 meV/atom. Its calculated density is 8.37 g/cm3. Its crystal system is cubic. Its density of states at the Fermi level is 12.1 states/eV per cell.

The structure belongs to space group F-43m (No. 216); the cell edges are 6.156, 6.156 and 6.156 Å and the angles 90.00°, 90.00° and 90.00°. Symmetry generates all atoms from Ta at (0.000, 0.000, 0.000), Al at (0.000, 0.000, 0.500), Al at (0.250, 0.250, 0.250) and Co at (0.250, 0.250, 0.750).


Record 4
A geometry-optimized TaAlCo2 structure, computed with GGA-PBE.

The final energy comes out at -7.36 eV/atom. The calculation puts the formation energy at 88 meV/atom. Its calculated density is 9.75 g/cm3. Its crystal system is trigonal. Its density of states at the Fermi level is 13.7 states/eV per cell.

The structure belongs to space group R3m (No. 160, hexagonal axes); the cell edges are 2.7474, 2.7474 and 25.4664 Å and the angles 90.00°, 90.00° and 120.00°. Symmetry generates all atoms from Ta at (0.0000, 0.0000, 0.0000), Al at (0.0000, 0.0000, 0.2371), Co at (0.0000, 0.0000, 0.4935) and Co at (0.0000, 0.0000, 0.7534).


Record 5
A geometry-optimized TaAlCoW2 structure, computed with GGA-PBE.

The final energy comes out at -8.69 eV/atom. The calculation puts the formation energy at 1028 meV/atom. Its calculated density is 11.61 g/cm3. Its crystal system is tetragonal. Its density of states at the Fermi level is 5.0 states/eV per cell.

The structure belongs to space group P4/mmm (No. 123); the cell edges are 4.474, 4.474 and 4.533 Å and the angles 90.00°, 90.00° and 90.00°. Symmetry generates all atoms from Ta at (0.000, 0.000, 0.000), Al at (0.500, 0.500, 0.000), Co at (0.000, 0.000, 0.500) and W at (0.000, 0.500, 0.500).


Record 6
A geometry-optimized Tb3Al5Co2 structure, computed with GGA-PBE.

The final energy comes out at -5.19 eV/atom. The calculation puts the formation energy at -506 meV/atom. Its calculated density is 6.46 g/cm3. Its crystal system is tetragonal. Its density of states at the Fermi level is 12.6 states/eV per cell.

The structure belongs to space group P4/mbm (No. 127); the cell edges are 9.627, 9.627 and 4.049 Å and the angles 90.00°, 90.00° and 90.00°. Symmetry generates all atoms from Tb at (0.000, 0.000, 0.000), Tb at (0.177, 0.323, 0.000), Al at (0.000, 0.500, 0.500), Al at (0.068, 0.770, 0.500) and Co at (0.115, 0.615, 0.000).